Computed, not measured: a relaxed structure of IrSO at the PBE level of DFT.

abc: 6.772 6.772 4.108
angles: 98.95 98.95 29.03
Element x y z (fractional)
Ir: 0.000 0.000 0.000
Ir: 0.710 0.710 0.632
S: 0.168 0.168 0.946
S: 0.536 0.536 0.376
O: 0.244 0.244 0.303
O: 0.863 0.863 0.795

Properties
total magnetization	0.000	μB/atom
mass density	8.8	g/cm3
ΔE to the lowest computed polymorph	0	meV per atom

---

Computed, not measured: a relaxed structure of IrS2O8 at the PBE level of DFT.

abc: 6.297 6.297 4.655
angles: 98.20 98.20 71.37
Element x y z (fractional)
Ir: 0.000 0.000 0.000
S: 0.186 0.186 0.653
S: 0.814 0.814 0.347
O: 0.049 0.731 0.231
O: 0.158 0.158 0.322
O: 0.269 0.951 0.769
O: 0.326 0.326 0.746
O: 0.674 0.674 0.254
O: 0.731 0.049 0.231
O: 0.842 0.842 0.678
O: 0.951 0.269 0.769

Properties
total magnetization	0.093	μB/atom
mass density	3.7	g/cm3

---

Computed, not measured: a relaxed structure of IrSO at the PBE level of DFT.

abc: 5.094 3.327 5.458
angles: 90.00 108.14 90.00
Element x y z (fractional)
Ir: 0.000 0.000 0.000
Ir: 0.481 0.500 0.339
S: 0.606 0.000 0.659
S: 0.858 0.500 0.206
O: 0.113 0.500 0.459
O: 0.251 0.500 0.954

Properties
total magnetization	0.000	μB/atom
mass density	9.1	g/cm3
ΔE to the lowest computed polymorph	103	meV per atom

---

Computed, not measured: a relaxed structure of IrS2O at the PBE level of DFT.

abc: 6.143 6.143 6.143
angles: 34.59 34.59 34.59
Element x y z (fractional)
Ir: 0.000 0.000 0.000
S: 0.397 0.397 0.397
S: 0.603 0.603 0.603
O: 0.500 0.500 0.500

Properties
total magnetization	0.000	μB/atom
mass density	6.8	g/cm3

---

Computed, not measured: a relaxed structure of IrSe2SO at the PBE level of DFT.

abc: 5.030 5.030 3.712
angles: 90.00 90.00 90.00
Element x y z (fractional)
Ir: 0.000 0.000 0.000
Se: 0.000 0.500 0.000
Se: 0.500 0.000 0.000
S: 0.500 0.500 0.500
O: 0.000 0.000 0.500

Properties
total magnetization	0.000	μB/atom
mass density	7.0	g/cm3

---

Computed, not measured: a relaxed structure of SnIr2SO at the PBE level of DFT.

abc: 4.756 4.756 3.371
angles: 90.00 90.00 90.00
Element x y z (fractional)
Sn: 0.000 0.000 0.000
Ir: 0.000 0.500 0.500
Ir: 0.500 0.000 0.500
S: 0.500 0.500 0.500
O: 0.500 0.500 0.000

Properties
total magnetization	0.000	μB/atom
mass density	12.0	g/cm3

---

Computed, not measured: a relaxed structure of SbIr3O at the PBE level of DFT.

abc: 4.901 4.901 4.901
angles: 90.00 90.00 90.00
Element x y z (fractional)
Sb: 0.000 0.000 0.000
Ir: 0.000 0.000 0.500
Ir: 0.000 0.500 0.000
Ir: 0.500 0.000 0.000
O: 0.500 0.500 0.500

Properties
total magnetization	0.751	μB/atom
mass density	10.1	g/cm3
ΔE to the lowest computed polymorph	1512	meV per atom

---

Computed, not measured: a relaxed structure of SbIr2O at the PBE level of DFT.

abc: 7.171 7.171 7.171
angles: 141.46 141.46 55.65
Element x y z (fractional)
Sb: 0.000 0.000 0.000
Sb: 0.750 0.250 0.500
Ir: 0.258 0.625 0.133
Ir: 0.375 0.508 0.633
Ir: 0.492 0.125 0.867
Ir: 0.875 0.742 0.367
O: 0.250 0.750 0.500
O: 0.500 0.500 0.000

Properties
total magnetization	0.000	μB/atom
mass density	12.2	g/cm3
ΔE to the lowest computed polymorph	0	meV per atom

---

Computed, not measured: a relaxed structure of SbIr2O at the PBE level of DFT.

abc: 4.354 4.354 4.354
angles: 60.00 60.00 60.00
Element x y z (fractional)
Sb: 0.000 0.000 0.000
Ir: 0.250 0.250 0.250
Ir: 0.750 0.750 0.750
O: 0.500 0.500 0.500

Properties
total magnetization	0.000	μB/atom
mass density	14.9	g/cm3
ΔE to the lowest computed polymorph	343	meV per atom

---

Computed, not measured: a relaxed structure of SbIrO at the PBE level of DFT.

abc: 5.953 6.009 6.180
angles: 74.58 65.46 83.68
Element x y z (fractional)
Sb: 0.000 0.000 0.000
Sb: 0.012 0.503 0.470
Sb: 0.464 0.289 0.982
Sb: 0.679 0.014 0.544
Ir: 0.076 0.444 0.871
Ir: 0.095 0.878 0.603
Ir: 0.572 0.445 0.515
Ir: 0.596 0.860 0.012
O: 0.223 0.227 0.361
O: 0.226 0.729 0.118
O: 0.469 0.807 0.422
O: 0.674 0.485 0.074

Properties
total magnetization	0.000	μB/atom
mass density	11.3	g/cm3

---

Computed, not measured: a relaxed structure of SbIrO2 at the PBE level of DFT.

abc: 7.376 7.376 7.376
angles: 148.24 148.24 45.52
Element x y z (fractional)
Sb: 0.000 0.000 0.000
Sb: 0.750 0.250 0.500
Ir: 0.250 0.750 0.500
Ir: 0.500 0.500 0.000
O: 0.158 0.625 0.033
O: 0.375 0.408 0.533
O: 0.592 0.125 0.967
O: 0.875 0.842 0.467

Properties
total magnetization	0.000	μB/atom
mass density	10.4	g/cm3

---

Computed, not measured: a relaxed structure of SbIrO3 at the PBE level of DFT.

abc: 3.967 3.967 3.967
angles: 90.00 90.00 90.00
Element x y z (fractional)
Sb: 0.000 0.000 0.000
Ir: 0.500 0.500 0.500
O: 0.000 0.500 0.500
O: 0.500 0.000 0.500
O: 0.500 0.500 0.000

Properties
total magnetization	0.000	μB/atom
mass density	9.6	g/cm3

---

Computed, not measured: a relaxed structure of Sb3IrO at the PBE level of DFT.

abc: 5.147 5.147 5.147
angles: 90.00 90.00 90.00
Element x y z (fractional)
Sb: 0.000 0.000 0.500
Sb: 0.000 0.500 0.000
Sb: 0.500 0.000 0.000
Ir: 0.000 0.000 0.000
O: 0.500 0.500 0.500

Properties
total magnetization	0.000	μB/atom
mass density	7.0	g/cm3
ΔE to the lowest computed polymorph	612	meV per atom

---

| no. | ΔE_f (raw) (kcal/mol of atoms) |
| --- | --- |
| 1 | -9.14 |
| 2 | -22.46 |
| 3 | -6.76 |
| 4 | -3.84 |
| 5 | 7.18 |
| 6 | 10.07 |
| 7 | 53.55 |
| 8 | 2.12 |
| 9 | 10.02 |
| 10 | -6.72 |
| 11 | -3.39 |
| 12 | -6.20 |
| 13 | 19.63 |